Entry 1:
# ThCo2Ni3 (PBE, relaxed)
# * E: -6.792 eV per atom
# * DFT formation energy: -1.78 eV per formula unit
data_ThCo2Ni3
_chemical_formula_sum 'Th2 Co4 Ni6'
_space_group_name_H-M_alt 'C m m m'
_space_group_IT_number 65
_space_group_name_Hall '-C 2 2'
_cell_length_a 4.8307
_cell_length_b 8.7622
_cell_length_c 4.0121
_cell_angle_alpha 90.00
_cell_angle_beta 90.00
_cell_angle_gamma 90.00
loop_
_atom_site_label
_atom_site_type_symbol
_atom_site_fract_x
_atom_site_fract_y
_atom_site_fract_z
Th1 Th 0.0000 0.0000 0.0000
Co1 Co 0.2500 0.2500 0.5000
Ni1 Ni 0.0000 0.3303 0.0000
Ni2 Ni 0.0000 0.5000 0.5000


Entry 2:
# CaCrPt2 (PBE, relaxed)
# * E: -5.907 eV per atom
# * distance to the lowest polymorph of the same formula: 0.435 eV/atom
# * DFT formation energy: 0.08 eV per formula unit
data_CaCrPt2
_chemical_formula_sum 'Ca4 Cr4 Pt8'
_space_group_name_H-M_alt 'F m -3 m'
_space_group_IT_number 225
_space_group_name_Hall '-F 4 2 3'
_cell_length_a 6.5133
_cell_length_b 6.5133
_cell_length_c 6.5133
_cell_angle_alpha 90.00
_cell_angle_beta 90.00
_cell_angle_gamma 90.00
loop_
_atom_site_label
_atom_site_type_symbol
_atom_site_fract_x
_atom_site_fract_y
_atom_site_fract_z
Ca1 Ca 0.0000 0.0000 0.0000
Cr1 Cr 0.0000 0.0000 0.5000
Pt1 Pt 0.2500 0.2500 0.2500


Listing DOS at the Fermi energy for the structures above in their given order: 7.249; 12.527 states/eV/f.u..